Entry from Alexandria: a geometry-optimized Li2Mg2BiO6 structure (PBE-GGA).

Unit cell a=5.496 b=9.434 c=5.254 alpha=90.00 beta=111.67 gamma=90.00
Space group C2/m (No. 12)
Symmetry-distinct sites (fractional):
1 Li 0.000 0.178 0.000 (multiplicity 4)
2 Mg 0.000 0.340 0.500 (multiplicity 4)
3 Bi 0.000 0.000 0.500 (multiplicity 2)
4 O 0.237 0.175 0.725 (multiplicity 8)
5 O 0.243 0.000 0.273 (multiplicity 4)

Calculated values
The calculation puts the total energy at -118.3 eV for the cell shown. The formation energy from raw total energies comes out at -1.6842 eV/atom. The volume comes out at 11.51 Å³/atom. The magnetic moment comes out at 1.1 μB per formula unit.


Entry from Alexandria: a geometry-optimized Li3Mg5Bi3Pb structure (PBE-GGA).

Unit cell a=4.8608 b=4.8608 c=47.5208 alpha=90.00 beta=90.00 gamma=120.00
Space group R3m (No. 160, hexagonal axes)
Symmetry-distinct sites (fractional):
1 Li 0.0000 0.0000 0.0000 (multiplicity 3)
2 Li 0.0000 0.0000 0.2503 (multiplicity 3)
3 Li 0.0000 0.0000 0.5001 (multiplicity 3)
4 Mg 0.0000 0.0000 0.1245 (multiplicity 3)
5 Mg 0.0000 0.0000 0.3746 (multiplicity 3)
6 Mg 0.0000 0.0000 0.6249 (multiplicity 3)
7 Mg 0.0000 0.0000 0.7494 (multiplicity 3)
8 Mg 0.0000 0.0000 0.8761 (multiplicity 3)
9 Bi 0.0000 0.0000 0.3122 (multiplicity 3)
10 Bi 0.0000 0.0000 0.5625 (multiplicity 3)
11 Bi 0.0000 0.0000 0.8136 (multiplicity 3)
12 Pb 0.0000 0.0000 0.0624 (multiplicity 3)

Calculated values
The calculation puts the total energy at -97.9 eV for the cell shown. As for the formation energy from the elements: -0.298 eV per atom. The volume comes out at 27.01 Å³/atom. The magnetic moment comes out at 0.0 μB per formula unit.


Entry from Alexandria: a geometry-optimized LiMg2BiPb structure (PBE-GGA).

Unit cell a=5.558 b=5.558 c=5.109 alpha=90.00 beta=90.00 gamma=90.00
Space group P4/mmm (No. 123)
Symmetry-distinct sites (fractional):
1 Li 0.000 0.000 0.000 (multiplicity 1)
2 Mg 0.000 0.500 0.500 (multiplicity 2)
3 Bi 0.000 0.000 0.500 (multiplicity 1)
4 Pb 0.500 0.500 0.000 (multiplicity 1)

Calculated values
The calculation puts the total energy at -11.8 eV for the cell shown. As for the formation energy from the elements: 0.185 eV per atom. The volume comes out at 31.57 Å³/atom. The magnetic moment comes out at 0.0 μB per formula unit.